# 1
# Si3H PBE-GGA relaxed
data_Si3H
_chemical_formula_sum 'Si18 H6'
_space_group_name_H-M_alt 'R -3 m'
_space_group_IT_number 166
_space_group_name_Hall '-R 3 2"'
_cell_length_a 3.8610
_cell_length_b 3.8610
_cell_length_c 35.5072
_cell_angle_alpha 90.00
_cell_angle_beta 90.00
_cell_angle_gamma 120.00
loop_
_atom_site_label
_atom_site_type_symbol
_atom_site_fract_x
_atom_site_fract_y
_atom_site_fract_z
Si1 Si 0.0000 0.0000 0.0886
Si2 Si 0.0000 0.0000 0.1555
Si3 Si 0.0000 0.0000 0.2662
H1 H 0.0000 0.0000 0.3085
# * volume: 19.10 Å³ per atom
# * final energy: -4.874 eV/atom

***

# 2
# Zn4RuPb PBE-GGA relaxed
data_Zn4RuPb
_chemical_formula_sum 'Zn16 Ru4 Pb4'
_space_group_name_H-M_alt 'F -4 3 m'
_space_group_IT_number 216
_space_group_name_Hall 'F -4 2 3'
_cell_length_a 7.2845
_cell_length_b 7.2845
_cell_length_c 7.2845
_cell_angle_alpha 90.00
_cell_angle_beta 90.00
_cell_angle_gamma 90.00
loop_
_atom_site_label
_atom_site_type_symbol
_atom_site_fract_x
_atom_site_fract_y
_atom_site_fract_z
Zn1 Zn 0.1235 0.1235 0.3765
Ru1 Ru 0.2500 0.2500 0.7500
Pb1 Pb 0.0000 0.0000 0.0000
# * volume: 16.11 Å³ per atom
# * final energy: -2.843 eV/atom
# * DOS at the Fermi energy: 0.4106 states/eV per atom

***

# 3
# MgReSi2 PBE-GGA relaxed
data_MgReSi2
_chemical_formula_sum 'Mg1 Re1 Si2'
_space_group_name_H-M_alt 'P 4 m m'
_space_group_IT_number 99
_space_group_name_Hall 'P 4 -2'
_cell_length_a 3.2124
_cell_length_b 3.2124
_cell_length_c 5.8624
_cell_angle_alpha 90.00
_cell_angle_beta 90.00
_cell_angle_gamma 90.00
loop_
_atom_site_label
_atom_site_type_symbol
_atom_site_fract_x
_atom_site_fract_y
_atom_site_fract_z
Mg1 Mg 0.0000 0.0000 0.0000
Re1 Re 0.5000 0.5000 0.3080
Si1 Si 0.0000 0.0000 0.4832
Si2 Si 0.5000 0.5000 0.7233
# * volume: 15.12 Å³ per atom
# * formation energy (no corrections): 0.0007 eV per atom
# * final energy: -6.222 eV/atom
# * DOS at the Fermi energy: 0.4080 states/eV per atom

***

Among the records above, which one has the lowest volume? MgReSi2

***

Which formula does entry 3 have? MgReSi2